## SrS3I (PBE)

Data for SrS3I after structural relaxation.

```
data_SrS3I
_space_group_name_H-M_alt 'P 1 21/m 1'
_space_group_IT_number 11
_space_group_name_Hall '-P 2yb'
_cell_length_a 6.316
_cell_length_b 5.219
_cell_length_c 9.004
_cell_angle_alpha 90.00
_cell_angle_beta 105.80
_cell_angle_gamma 90.00
loop_
_atom_site_label
_atom_site_fract_x
_atom_site_fract_y
_atom_site_fract_z
Sr1 0.151 0.250 0.271
S1 0.137 0.250 0.910
S2 0.406 0.750 0.220
S3 0.472 0.250 0.964
I1 0.253 0.750 0.542
```

Output
Size of the total moment ... 0.00 μB/f.u.
Crystal system ... monoclinic
Final energy ... -3.933 eV per atom
Offset from the most stable computed form ... 0.000 eV per atom
Formation energy without anion corrections ... -0.81 eV per atom
Calculated volume ... 142.8 Å³/f.u.

=====

## Sr3S2I2 (PBE)

Data for Sr3S2I2 after structural relaxation.

```
data_Sr3S2I2
_space_group_name_H-M_alt 'C 1 2/m 1'
_space_group_IT_number 12
_space_group_name_Hall '-C 2y'
_cell_length_a 14.620
_cell_length_b 4.318
_cell_length_c 8.251
_cell_angle_alpha 90.00
_cell_angle_beta 97.99
_cell_angle_gamma 90.00
loop_
_atom_site_label
_atom_site_fract_x
_atom_site_fract_y
_atom_site_fract_z
Sr1 0.000 0.000 0.000
Sr2 0.233 0.000 0.778
S1 0.131 0.500 0.921
I1 0.126 0.000 0.380
```

Output
Size of the total moment ... 0.00 μB/f.u.
Crystal system ... monoclinic
Final energy ... -4.251 eV per atom
Offset from the most stable computed form ... 0.000 eV per atom
Formation energy without anion corrections ... -1.91 eV per atom
Calculated volume ... 257.9 Å³/f.u.

=====

## SrS6I2 (PBE)

Data for SrS6I2 after structural relaxation.

```
data_SrS6I2
_space_group_name_H-M_alt 'P -1'
_space_group_IT_number 2
_space_group_name_Hall '-P 1'
_cell_length_a 4.738
_cell_length_b 8.581
_cell_length_c 8.609
_cell_angle_alpha 110.66
_cell_angle_beta 90.22
_cell_angle_gamma 90.34
loop_
_atom_site_label
_atom_site_fract_x
_atom_site_fract_y
_atom_site_fract_z
Sr1 0.000 0.000 0.000
S1 0.072 0.284 0.517
S2 0.073 0.518 0.285
S3 0.141 0.682 0.682
I1 0.499 0.842 0.156
```

Output
Size of the total moment ... 0.00 μB/f.u.
Crystal system ... triclinic
Final energy ... -3.771 eV per atom
Formation energy without anion corrections ... -0.49 eV per atom
Calculated volume ... 327.5 Å³/f.u.

=====

## SrSI3 (PBE)

Data for SrSI3 after structural relaxation.

```
data_SrSI3
_space_group_name_H-M_alt 'P m -3 m'
_space_group_IT_number 221
_space_group_name_Hall '-P 4 2 3'
_cell_length_a 5.696
_cell_length_b 5.696
_cell_length_c 5.696
_cell_angle_alpha 90.00
_cell_angle_beta 90.00
_cell_angle_gamma 90.00
loop_
_atom_site_label
_atom_site_fract_x
_atom_site_fract_y
_atom_site_fract_z
Sr1 0.000 0.000 0.000
S1 0.500 0.500 0.500
I1 0.000 0.500 0.500
```

Output
Size of the total moment ... 0.00 μB/f.u.
Crystal system ... cubic
Final energy ... -2.567 eV per atom
Offset from the most stable computed form ... 0.000 eV per atom
Formation energy without anion corrections ... -0.47 eV per atom
Calculated volume ... 184.8 Å³/f.u.

=====

## Sr3SI3 (PBE)

Data for Sr3SI3 after structural relaxation.

```
data_Sr3SI3
_space_group_name_H-M_alt 'I 41 3 2'
_space_group_IT_number 214
_space_group_name_Hall 'I 4bd 2c 3'
_cell_length_a 12.806
_cell_length_b 12.806
_cell_length_c 12.806
_cell_angle_alpha 90.00
_cell_angle_beta 90.00
_cell_angle_gamma 90.00
loop_
_atom_site_label
_atom_site_fract_x
_atom_site_fract_y
_atom_site_fract_z
Sr1 0.111 0.361 0.125
S1 0.125 0.125 0.125
I1 0.119 0.131 0.625
```

Output
Size of the total moment ... 0.00 μB/f.u.
Crystal system ... cubic
Final energy ... -3.631 eV per atom
Formation energy without anion corrections ... -1.66 eV per atom
Calculated volume ... 262.5 Å³/f.u.

=====

## Sr3S2I2 (PBE)

Data for Sr3S2I2 after structural relaxation.

```
data_Sr3S2I2
_space_group_name_H-M_alt 'C 1 2/m 1'
_space_group_IT_number 12
_space_group_name_Hall '-C 2y'
_cell_length_a 16.201
_cell_length_b 4.721
_cell_length_c 8.059
_cell_angle_alpha 90.00
_cell_angle_beta 114.29
_cell_angle_gamma 90.00
loop_
_atom_site_label
_atom_site_fract_x
_atom_site_fract_y
_atom_site_fract_z
Sr1 0.000 0.000 0.000
Sr2 0.208 0.500 0.772
S1 0.140 0.000 0.872
I1 0.133 0.500 0.304
```

Output
Size of the total moment ... 0.00 μB/f.u.
Crystal system ... monoclinic
Final energy ... -4.168 eV per atom
Offset from the most stable computed form ... 0.084 eV per atom
Formation energy without anion corrections ... -1.82 eV per atom
Calculated volume ... 280.9 Å³/f.u.

=====

## Sr7SI12 (PBE)

Data for Sr7SI12 after structural relaxation.

```
data_Sr7SI12
_space_group_name_H-M_alt 'R -3'
_space_group_IT_number 148
_space_group_name_Hall '-R 3'
_cell_length_a 16.7355
_cell_length_b 16.7355
_cell_length_c 11.7114
_cell_angle_alpha 90.00
_cell_angle_beta 90.00
_cell_angle_gamma 120.00
loop_
_atom_site_label
_atom_site_fract_x
_atom_site_fract_y
_atom_site_fract_z
Sr1 0.0000 0.0000 0.0000
Sr2 0.0437 0.1733 0.3435
S1 0.0000 0.0000 0.5000
I1 0.0250 0.5858 0.1584
I2 0.0453 0.1734 0.8263
```

Output
Size of the total moment ... 0.00 μB/f.u.
Crystal system ... trigonal
Final energy ... -3.436 eV per atom
Formation energy without anion corrections ... -1.71 eV per atom
Calculated volume ... 946.9 Å³/f.u.

=====

## Sr5S4I (PBE)

Data for Sr5S4I after structural relaxation.

```
data_Sr5S4I
_space_group_name_H-M_alt 'C 1 2/m 1'
_space_group_IT_number 12
_space_group_name_Hall '-C 2y'
_cell_length_a 14.502
_cell_length_b 4.333
_cell_length_c 10.750
_cell_angle_alpha 90.00
_cell_angle_beta 119.91
_cell_angle_gamma 90.00
loop_
_atom_site_label
_atom_site_fract_x
_atom_site_fract_y
_atom_site_fract_z
Sr1 0.000 0.000 0.000
Sr2 0.114 0.500 0.383
Sr3 0.210 0.000 0.821
S1 0.095 0.500 0.895
S2 0.207 0.000 0.297
I1 0.000 0.000 0.500
```

Output
Size of the total moment ... 0.00 μB/f.u.
Crystal system ... monoclinic
Final energy ... -4.575 eV per atom
Formation energy without anion corrections ... -1.93 eV per atom
Calculated volume ... 292.7 Å³/f.u.